Version 1
This record from Alexandria describes a relaxed structure of Li2CrFe. The functional is GGA-PBE.

```
Li2CrFe
1.0
2.846 0.000 0.000
0.000 2.866 0.000
0.000 0.000 6.988
Li Cr Fe
2 1 1
direct
0.000 0.000 0.000 Li
0.500 0.500 0.303 Li
0.000 0.000 0.589 Cr
0.500 0.500 0.746 Fe
```

Version 2
This record from Alexandria describes a relaxed structure of Li2CrFe. The functional is GGA-PBE.

```
Li2CrFe
1.0
2.426 0.000 0.000
0.000 4.629 0.000
-0.469 0.000 4.456
Li Cr Fe
2 1 1
direct
0.235 0.000 0.254 Li
0.765 0.000 0.746 Li
0.500 0.500 0.000 Cr
0.000 0.500 0.500 Fe
```

Which one sits at the top of the stability order? version 1 does.

Version 1
This record from Alexandria describes a relaxed structure of LiCr2Fe. The functional is GGA-PBE.

```
LiCr2Fe
1.0
0.000 2.804 2.804
2.804 0.000 2.804
2.804 2.804 0.000
Li Cr Fe
1 2 1
direct
0.000 0.000 0.000 Li
0.250 0.250 0.250 Cr
0.750 0.750 0.750 Cr
0.500 0.500 0.500 Fe
```

Version 2
This record from Alexandria describes a relaxed structure of LiCr2Fe. The functional is GGA-PBE.

```
LiCr2Fe
1.0
-1.380 2.064 3.945
1.380 -2.064 3.945
1.380 2.064 -3.945
Li Cr Fe
1 2 1
direct
0.000 0.000 0.000 Li
0.271 0.771 0.500 Cr
0.501 0.501 0.000 Cr
0.740 0.240 0.500 Fe
```

Which one sits at the top of the stability order? version 2 does.

Version 1
This record from Alexandria describes a relaxed structure of LiCr2Fe. The functional is GGA-PBE.

```
LiCr2Fe
1.0
2.366 0.000 0.000
0.000 2.366 0.000
0.000 0.000 8.635
Li Cr Fe
1 2 1
direct
0.000 0.000 0.000 Li
0.000 0.000 0.513 Cr
0.500 0.500 0.270 Cr
0.500 0.500 0.748 Fe
```

Version 2
This record from Alexandria describes a relaxed structure of LiCr2Fe. The functional is GGA-PBE.

```
LiCr2Fe
1.0
-3.204 3.204 2.384
3.204 -3.204 2.384
3.204 3.204 -2.384
Li Cr Fe
2 4 2
direct
0.000 0.000 0.000 Li
0.750 0.250 0.500 Li
0.162 0.625 0.037 Cr
0.375 0.412 0.537 Cr
0.588 0.125 0.963 Cr
0.875 0.838 0.463 Cr
0.250 0.750 0.500 Fe
0.500 0.500 0.000 Fe
```

Version 3
This record from Alexandria describes a relaxed structure of LiCr2Fe. The functional is GGA-PBE.

```
LiCr2Fe
1.0
2.380 0.000 0.000
0.000 4.007 0.000
-0.641 0.000 4.749
Li Cr Fe
1 2 1
direct
0.000 0.000 0.000 Li
0.504 0.000 0.503 Cr
0.738 0.500 0.255 Cr
0.240 0.500 0.753 Fe
```

Version 4
This record from Alexandria describes a relaxed structure of LiCr2Fe. The functional is GGA-PBE.

```
LiCr2Fe
1.0
4.100 -1.176 0.000
4.100 1.176 0.000
-0.132 0.000 4.770
Li Cr Fe
1 2 1
direct
0.000 0.000 0.000 Li
0.507 0.507 0.502 Cr
0.750 0.750 0.253 Cr
0.254 0.254 0.759 Fe
```

Which one sits at the top of the stability order? version 3 does.

Version 1
This record from Alexandria describes a relaxed structure of LiCr2Fe. The functional is GGA-PBE.

```
LiCr2Fe
1.0
0.000 2.862 2.862
2.862 0.000 2.862
2.862 2.862 0.000
Li Cr Fe
1 2 1
direct
0.000 0.000 0.000 Li
0.500 0.500 0.500 Cr
0.750 0.750 0.750 Cr
0.250 0.250 0.250 Fe
```

Version 2
This record from Alexandria describes a relaxed structure of LiCr2Fe. The functional is GGA-PBE.

```
LiCr2Fe
1.0
1.416 -1.986 0.000
1.416 1.986 0.000
0.000 0.000 8.533
Li Cr Fe
1 2 1
direct
0.000 0.000 0.000 Li
0.000 0.000 0.508 Cr
0.500 0.500 0.274 Cr
0.500 0.500 0.741 Fe
```

Which one sits at the top of the stability order? version 2 does.

Version 1
This record from Alexandria describes a relaxed structure of LiCr2Fe. The functional is GGA-PBE.

```
LiCr2Fe
1.0
1.419 -1.941 0.000
1.419 1.941 0.000
0.000 0.000 8.695
Li Cr Fe
1 2 1
direct
0.000 0.000 0.000 Li
0.500 0.500 0.268 Cr
0.500 0.500 0.732 Cr
0.000 0.000 0.500 Fe
```

Version 2
This record from Alexandria describes a relaxed structure of LiCr2Fe. The functional is GGA-PBE.

```
LiCr2Fe
1.0
2.449 0.000 0.000
0.000 2.449 0.000
0.000 0.000 8.105
Li Cr Fe
1 2 1
direct
0.000 0.000 0.000 Li
0.500 0.500 0.284 Cr
0.500 0.500 0.716 Cr
0.000 0.000 0.500 Fe
```

Which one sits at the top of the stability order? version 1 does.